{"formula": "TbGa2Au5", "functional": "PBE", "state": "optimized geometry", "lattice": [[3.565, 0.000, 1.185], [1.199, 6.471, 2.346], [-0.331, 0.627, 6.951]], "species": ["Au", "Au", "Au", "Au", "Au", "Ga", "Ga", "Tb"], "fractional_positions": [[0.370, 0.858, 0.402], [0.630, 0.142, 0.598], [0.000, 0.500, 0.500], [0.630, 0.598, 0.142], [0.370, 0.402, 0.858], [0.761, 0.739, 0.739], [0.239, 0.261, 0.261], [0.000, 0.000, 0.000]], "ef_mev_per_atom": -401.3, "mass_density_g_cm3": 13.44, "space_group": "Immm"}